Entry 1:
A plane-wave DFT calculation with GGA-PBE was carried out for a geometry-optimized CsAl2H6 structure.

Calculated values
Size of the total moment   0.000 μB per atom
Raw total energy   -2.19 eV per atom
Volume   118.9 Å³/cell
Space-group type   No. 225

Structure (extended XYZ):
```
9
Lattice="0.0000 3.9030 3.9030 3.9030 0.0000 3.9030 3.9030 3.9030 0.0000" Properties=species:S:1:pos:R:3 pbc="T T T"
Cs 0.0000 0.0000 0.0000
Al 1.9515 1.9515 1.9515
Al 5.8546 5.8546 5.8546
H 3.9030 3.9030 2.9522
H 3.9030 2.9522 3.9030
H 4.8539 3.9030 3.9030
H 2.9522 3.9030 3.9030
H 3.9030 4.8539 3.9030
H 3.9030 3.9030 4.8539
```

Entry 2:
A plane-wave DFT calculation with GGA-PBE was carried out for a geometry-optimized CsLiPu2S4 structure.

Calculated values
Size of the total moment   1.250 μB per atom
Volume   406.3 Å³/cell
Formation energy from raw total energies   -12.56 eV/f.u.
Space-group type   No. 63

Structure (extended XYZ):
```
16
Lattice="2.0639 -6.9533 0.0000 2.0639 6.9533 0.0000 0.0000 0.0000 14.1557" Properties=species:S:1:pos:R:3 pbc="T T T"
Cs 2.0639 5.5038 10.6168
Cs 2.0639 -5.5038 3.5389
Li 2.0639 4.5417 3.5389
Li 2.0639 -4.5417 10.6168
Pu 2.0639 1.8507 7.8974
Pu 2.0639 1.8507 13.3362
Pu 2.0639 -1.8507 0.8195
Pu 2.0639 -1.8507 6.2583
S 0.0000 0.0000 0.0000
S 0.0000 0.0000 7.0779
S 2.0639 3.4018 1.4350
S 2.0639 3.4018 5.6428
S 2.0639 1.2657 10.6168
S 2.0639 -1.2657 3.5389
S 2.0639 -3.4018 8.5129
S 2.0639 -3.4018 12.7207
```

Entry 3:
A plane-wave DFT calculation with GGA-PBE was carried out for a geometry-optimized BaBiB2O structure.

Calculated values
Size of the total moment   0.267 μB per atom
Volume   106.3 Å³/cell
Formation energy from raw total energies   3.59 eV/f.u.
Space-group type   No. 123

Structure (extended XYZ):
```
5
Lattice="4.7657 0.0000 0.0000 0.0000 4.7657 0.0000 0.0000 0.0000 4.6786" Properties=species:S:1:pos:R:3 pbc="T T T"
Ba 0.0000 0.0000 0.0000
Bi 2.3828 2.3828 2.3393
B 0.0000 2.3828 2.3393
B 2.3828 0.0000 2.3393
O 2.3828 2.3828 0.0000
```

Entry 4:
A plane-wave DFT calculation with GGA-PBE was carried out for a geometry-optimized BaSrTbHfO6 structure.

Calculated values
Size of the total moment   0.098 μB per atom
Volume   160.5 Å³/cell
Formation energy from raw total energies   -30.09 eV/f.u.
Space-group type   No. 216

Structure (extended XYZ):
```
10
Lattice="0.0000 4.3137 4.3137 4.3137 0.0000 4.3137 4.3137 4.3137 0.0000" Properties=species:S:1:pos:R:3 pbc="T T T"
Ba 0.0000 0.0000 0.0000
Sr 4.3137 4.3137 4.3137
Tb 6.4705 6.4705 6.4705
Hf 2.1568 2.1568 2.1568
O 2.1568 2.1568 0.0832
O 2.1568 0.0832 2.1568
O 4.2305 2.1568 2.1568
O 0.0832 2.1568 2.1568
O 2.1568 4.2305 2.1568
O 2.1568 2.1568 4.2305
```